VASP calculation (PBE-GGA) on Li3PC after structural relaxation.

Formation energy from the elements = 532 meV per atom
Total DFT energy (no corrections) = -3.54 eV/atom
Spin magnetization = 0.00 Bohr magnetons per cell

Geometry as POSCAR:
```
Li3PC
1.0
3.994 0.000 0.000
0.000 3.994 0.000
0.000 0.000 3.994
Li P C
3 1 1
Direct
0.000 0.000 0.500
0.000 0.500 0.000
0.500 0.000 0.000
0.500 0.500 0.500
0.000 0.000 0.000
```

---

VASP calculation (PBE-GGA) on AcCd4Au4 after structural relaxation.

Formation energy from the elements = -318 meV per atom
Total DFT energy (no corrections) = -2.64 eV/atom
Spin magnetization = 0.00 Bohr magnetons per cell

Geometry as POSCAR:
```
AcCd4Au4
1.0
6.675 0.000 0.000
0.000 6.675 0.000
0.000 0.000 9.513
Ac Cd Au
2 8 8
Direct
0.250 0.750 0.250
0.750 0.250 0.750
0.020 0.250 0.160
0.250 0.020 0.660
0.250 0.480 0.660
0.480 0.250 0.160
0.520 0.750 0.840
0.750 0.520 0.340
0.750 0.980 0.340
0.980 0.750 0.840
0.034 0.250 0.458
0.250 0.034 0.958
0.250 0.466 0.958
0.466 0.250 0.458
0.534 0.750 0.542
0.750 0.534 0.042
0.750 0.966 0.042
0.966 0.750 0.542
```

---

VASP calculation (PBE-GGA) on LiGeTe2N after structural relaxation.

Energy relative to the elements, uncorrected = 1.6 eV/f.u.
Total DFT energy (no corrections) = -3.91 eV/atom
Spin magnetization = 0.00 Bohr magnetons per cell

Geometry as POSCAR:
```
LiGeTe2N
1.0
5.916 0.000 0.000
0.000 5.916 0.000
0.000 0.000 3.430
Li Ge Te N
1 1 2 1
Direct
0.000 0.000 0.000
0.500 0.500 0.500
0.000 0.500 0.500
0.500 0.000 0.500
0.500 0.500 0.000
```

---

VASP calculation (PBE-GGA) on TaSnSb2I after structural relaxation.

Energy relative to the elements, uncorrected = 7.5 eV/f.u.
Total DFT energy (no corrections) = -3.63 eV/atom
Spin magnetization = 2.19 Bohr magnetons per cell

Geometry as POSCAR:
```
TaSnSb2I
1.0
5.567 0.000 0.000
0.000 5.567 0.000
0.000 0.000 5.685
Ta Sn Sb I
1 1 2 1
Direct
0.000 0.000 0.000
0.500 0.500 0.500
0.000 0.500 0.500
0.500 0.000 0.500
0.500 0.500 0.000
```

---

VASP calculation (PBE-GGA) on ThGa4Cu2Rh after structural relaxation.

Formation energy from the elements = -371 meV per atom
Total DFT energy (no corrections) = -4.76 eV/atom
Spin magnetization = 0.00 Bohr magnetons per cell

Geometry as POSCAR:
```
ThGa4Cu2Rh
1.0
2.113 1.220 8.864
-2.113 1.220 8.864
0.000 -2.439 8.864
Th Ga Cu Rh
1 4 2 1
Direct
0.000 0.000 0.000
0.130 0.130 0.130
0.403 0.403 0.403
0.597 0.597 0.597
0.870 0.870 0.870
0.240 0.240 0.240
0.760 0.760 0.760
0.500 0.500 0.500
```

---

VASP calculation (PBE-GGA) on TlSi2MoRu after structural relaxation.

Energy relative to the elements, uncorrected = 12.3 eV/f.u.
Total DFT energy (no corrections) = -4.20 eV/atom
Spin magnetization = 5.45 Bohr magnetons per cell

Geometry as POSCAR:
```
TlSi2MoRu
1.0
4.940 0.000 0.000
0.000 4.940 0.000
0.000 0.000 5.241
Tl Si Mo Ru
1 2 1 1
Direct
0.000 0.000 0.000
0.000 0.500 0.000
0.500 0.000 0.000
0.000 0.000 0.500
0.500 0.500 0.500
```

---

VASP calculation (PBE-GGA) on HfPb2Br8 after structural relaxation.

Energy relative to the elements, uncorrected = -11.9 eV/f.u.
Total DFT energy (no corrections) = -3.88 eV/atom
Spin magnetization = 0.00 Bohr magnetons per cell

Geometry as POSCAR:
```
HfPb2Br8
1.0
6.266 -4.835 0.000
6.266 4.835 0.000
-2.448 0.000 6.414
Hf Pb Br
1 2 8
Direct
0.000 0.000 0.000
0.335 0.335 0.541
0.665 0.665 0.459
0.051 0.668 0.763
0.118 0.118 0.763
0.332 0.949 0.237
0.419 0.419 0.208
0.581 0.581 0.792
0.668 0.051 0.763
0.882 0.882 0.237
0.949 0.332 0.237
```

---

VASP calculation (PBE-GGA) on KRb2TlAg after structural relaxation.

Formation energy from the elements = 68 meV per atom
Total DFT energy (no corrections) = -1.58 eV/atom
Spin magnetization = 0.00 Bohr magnetons per cell

Geometry as POSCAR:
```
KRb2TlAg
1.0
6.948 0.000 0.000
0.000 6.948 0.000
0.000 0.000 5.523
K Rb Tl Ag
1 2 1 1
Direct
0.000 0.000 0.000
0.000 0.500 0.500
0.500 0.000 0.500
0.500 0.500 0.000
0.500 0.500 0.500
```

---

VASP calculation (PBE-GGA) on K3Ca5F12 after structural relaxation.

Energy relative to the elements, uncorrected = -67.8 eV/f.u.
Total DFT energy (no corrections) = -5.18 eV/atom
Spin magnetization = 0.00 Bohr magnetons per cell

Geometry as POSCAR:
```
K3Ca5F12
1.0
-7.363 7.363 7.363
7.363 -7.363 7.363
7.363 7.363 -7.363
K Ca F
12 20 48
Direct
0.125 0.250 0.375
0.125 0.375 0.750
0.250 0.375 0.125
0.250 0.875 0.625
0.375 0.125 0.250
0.375 0.750 0.125
0.625 0.250 0.875
0.625 0.875 0.750
0.750 0.125 0.375
0.750 0.625 0.875
0.875 0.625 0.250
0.875 0.750 0.625
0.000 0.000 0.000
0.000 0.000 0.500
0.000 0.500 0.000
0.000 0.500 0.500
0.125 0.750 0.875
0.125 0.875 0.250
0.250 0.125 0.875
0.250 0.625 0.375
0.375 0.250 0.625
0.375 0.625 0.750
0.500 0.000 0.000
0.500 0.000 0.500
0.500 0.500 0.000
0.500 0.500 0.500
0.625 0.375 0.250
0.625 0.750 0.375
0.750 0.375 0.625
0.750 0.875 0.125
0.875 0.125 0.750
0.875 0.250 0.125
0.016 0.191 0.120
0.016 0.325 0.896
0.071 0.691 0.675
0.071 0.880 0.396
0.104 0.620 0.429
0.104 0.984 0.675
0.120 0.016 0.191
0.120 0.604 0.929
0.175 0.191 0.571
0.175 0.484 0.604
0.191 0.120 0.016
0.191 0.571 0.175
0.309 0.325 0.929
0.309 0.484 0.380
0.325 0.896 0.016
0.325 0.929 0.309
0.380 0.309 0.484
0.380 0.571 0.896
0.396 0.071 0.880
0.396 0.825 0.516
0.429 0.104 0.620
0.429 0.825 0.809
0.484 0.380 0.309
0.484 0.604 0.175
0.516 0.396 0.825
0.516 0.620 0.691
0.571 0.175 0.191
0.571 0.896 0.380
0.604 0.175 0.484
0.604 0.929 0.120
0.620 0.429 0.104
0.620 0.691 0.516
0.675 0.071 0.691
0.675 0.104 0.984
0.691 0.516 0.620
0.691 0.675 0.071
0.809 0.429 0.825
0.809 0.880 0.984
0.825 0.516 0.396
0.825 0.809 0.429
0.880 0.396 0.071
0.880 0.984 0.809
0.896 0.016 0.325
0.896 0.380 0.571
0.929 0.120 0.604
0.929 0.309 0.325
0.984 0.675 0.104
0.984 0.809 0.880
```

---

VASP calculation (PBE-GGA) on SrTeRu3 after structural relaxation.

Energy relative to the elements, uncorrected = 4.1 eV/f.u.
Total DFT energy (no corrections) = -5.71 eV/atom
Spin magnetization = 0.55 Bohr magnetons per cell

Geometry as POSCAR:
```
SrTeRu3
1.0
4.894 0.000 0.000
0.000 4.894 0.000
0.000 0.000 4.894
Sr Te Ru
1 1 3
Direct
0.000 0.000 0.000
0.500 0.500 0.500
0.000 0.500 0.500
0.500 0.000 0.500
0.500 0.500 0.000
```

---

VASP calculation (PBE-GGA) on PdSe2I after structural relaxation.

Energy relative to the elements, uncorrected = -0.5 eV/f.u.
Total DFT energy (no corrections) = -3.56 eV/atom
Spin magnetization = 0.00 Bohr magnetons per cell

Geometry as POSCAR:
```
PdSe2I
1.0
3.922 0.000 0.000
-1.961 3.397 0.000
0.000 0.000 7.788
Pd Se I
1 2 1
Direct
0.000 0.000 0.000
0.333 0.667 0.846
0.667 0.333 0.162
0.333 0.667 0.495
```

---

VASP calculation (PBE-GGA) on Cu2Cl2F after structural relaxation.

Energy relative to the elements, uncorrected = -3.9 eV/f.u.
Total DFT energy (no corrections) = -3.53 eV/atom
Spin magnetization = 2.01 Bohr magnetons per cell

Geometry as POSCAR:
```
Cu2Cl2F
1.0
6.907 -1.988 0.000
6.907 1.988 0.000
-5.448 0.000 6.787
Cu Cl F
4 4 2
Direct
0.010 0.010 0.196
0.309 0.309 0.299
0.691 0.691 0.701
0.990 0.990 0.804
0.146 0.146 0.775
0.394 0.394 0.624
0.606 0.606 0.376
0.854 0.854 0.225
0.120 0.120 0.113
0.880 0.880 0.887
```

---

VASP calculation (PBE-GGA) on Ta2OsRu after structural relaxation.

Formation energy from the elements = -106 meV per atom
Total DFT energy (no corrections) = -11.16 eV/atom
Spin magnetization = 0.00 Bohr magnetons per cell

Geometry as POSCAR:
```
Ta2OsRu
1.0
2.828 0.000 0.000
0.000 4.281 0.000
-0.860 0.000 5.330
Ta Os Ru
2 1 1
Direct
0.249 0.000 0.251
0.751 0.000 0.749
0.000 0.500 0.500
0.500 0.500 0.000
```

---

VASP calculation (PBE-GGA) on Ce3PmTh4Se8 after structural relaxation.

Energy relative to the elements, uncorrected = -27.0 eV/f.u.
Total DFT energy (no corrections) = -6.69 eV/atom
Spin magnetization = 2.74 Bohr magnetons per cell

Geometry as POSCAR:
```
Ce3PmTh4Se8
1.0
4.163 2.404 6.973
-4.163 2.404 6.973
0.000 -4.807 6.973
Ce Pm Th Se
3 1 4 8
Direct
0.000 0.500 0.500
0.500 0.000 0.500
0.500 0.500 0.000
0.000 0.000 0.000
0.000 0.000 0.500
0.000 0.500 0.000
0.500 0.000 0.000
0.500 0.500 0.500
0.248 0.248 0.749
0.248 0.749 0.248
0.251 0.251 0.251
0.251 0.752 0.752
0.749 0.248 0.248
0.749 0.749 0.749
0.752 0.251 0.752
0.752 0.752 0.251
```

---

VASP calculation (PBE-GGA) on NpCu3Br2Cl6 after structural relaxation.

Energy relative to the elements, uncorrected = -10.3 eV/f.u.
Total DFT energy (no corrections) = -4.17 eV/atom
Spin magnetization = 1.95 Bohr magnetons per cell

Geometry as POSCAR:
```
NpCu3Br2Cl6
1.0
8.156 -3.486 0.000
8.156 3.486 0.000
-0.419 0.000 5.970
Np Cu Br Cl
1 3 2 6
Direct
0.000 0.000 0.000
0.000 0.500 0.000
0.500 0.000 0.000
0.500 0.500 0.500
0.301 0.301 0.228
0.699 0.699 0.772
0.138 0.138 0.816
0.205 0.678 0.724
0.322 0.795 0.276
0.678 0.205 0.724
0.795 0.322 0.276
0.862 0.862 0.184
```

---

VASP calculation (PBE-GGA) on Tb2BeZnRh2 after structural relaxation.

Formation energy from the elements = -620 meV per atom
Total DFT energy (no corrections) = -5.45 eV/atom
Spin magnetization = 0.00 Bohr magnetons per cell

Geometry as POSCAR:
```
Tb2BeZnRh2
1.0
-2.886 6.779 2.813
2.886 -6.779 2.813
2.886 6.779 -2.813
Tb Be Zn Rh
4 2 2 4
Direct
0.168 0.229 0.398
0.332 0.729 0.061
0.668 0.271 0.939
0.832 0.771 0.602
0.250 0.750 0.500
0.750 0.250 0.500
0.250 0.250 0.000
0.750 0.750 0.000
0.110 0.705 0.814
0.390 0.205 0.595
0.610 0.795 0.405
0.890 0.295 0.186
```

---

VASP calculation (PBE-GGA) on Hf3Ir2Ru after structural relaxation.

Formation energy from the elements = -867 meV per atom
Total DFT energy (no corrections) = -10.34 eV/atom
Spin magnetization = 0.00 Bohr magnetons per cell

Geometry as POSCAR:
```
Hf3Ir2Ru
1.0
4.564 0.000 0.000
0.000 6.695 0.000
-2.218 0.000 6.838
Hf Ir Ru
6 4 2
Direct
0.000 0.250 0.000
0.000 0.750 0.000
0.333 0.249 0.665
0.333 0.751 0.665
0.667 0.249 0.335
0.667 0.751 0.335
0.165 0.500 0.332
0.500 0.000 0.000
0.500 0.500 0.000
0.835 0.500 0.668
0.167 0.000 0.333
0.833 0.000 0.667
```

---

VASP calculation (PBE-GGA) on Sn2SbS3 after structural relaxation.

Energy relative to the elements, uncorrected = -1.4 eV/f.u.
Total DFT energy (no corrections) = -4.32 eV/atom
Spin magnetization = 0.00 Bohr magnetons per cell

Geometry as POSCAR:
```
Sn2SbS3
1.0
-2.959 6.379 1.960
2.959 -6.379 1.960
2.959 6.379 -1.960
Sn Sb S
2 1 3
Direct
0.165 0.000 0.165
0.835 0.000 0.835
0.500 0.000 0.500
0.159 0.502 0.657
0.501 0.501 0.000
0.845 0.502 0.343
```

---

VASP calculation (PBE-GGA) on PmDyGaAg after structural relaxation.

Formation energy from the elements = -434 meV per atom
Total DFT energy (no corrections) = -4.24 eV/atom
Spin magnetization = 0.01 Bohr magnetons per cell

Geometry as POSCAR:
```
PmDyGaAg
1.0
0.000 3.664 3.664
3.664 0.000 3.664
3.664 3.664 0.000
Pm Dy Ga Ag
1 1 1 1
Direct
0.000 0.000 0.000
0.500 0.500 0.500
0.250 0.250 0.250
0.750 0.750 0.750
```

---

VASP calculation (PBE-GGA) on Cs2BaUBr8 after structural relaxation.

Energy relative to the elements, uncorrected = -20.1 eV/f.u.
Total DFT energy (no corrections) = -4.03 eV/atom
Spin magnetization = 2.00 Bohr magnetons per cell

Geometry as POSCAR:
```
Cs2BaUBr8
1.0
7.626 0.000 0.000
0.355 8.019 0.000
0.016 0.005 9.777
Cs Ba U Br
2 1 1 8
Direct
0.001 0.000 0.243
0.999 0.000 0.757
0.500 0.500 0.500
0.500 0.500 0.000
0.169 0.743 0.500
0.186 0.683 0.000
0.375 0.297 0.788
0.378 0.295 0.212
0.622 0.705 0.788
0.625 0.703 0.212
0.814 0.317 0.000
0.831 0.257 0.500
```

---

VASP calculation (PBE-GGA) on Hf2Zn3Au4 after structural relaxation.

Formation energy from the elements = -328 meV per atom
Total DFT energy (no corrections) = -4.42 eV/atom
Spin magnetization = 0.00 Bohr magnetons per cell

Geometry as POSCAR:
```
Hf2Zn3Au4
1.0
4.187 -2.232 0.000
4.187 2.232 0.000
-1.415 0.000 8.539
Hf Zn Au
2 3 4
Direct
0.194 0.194 0.234
0.806 0.806 0.766
0.136 0.136 0.583
0.500 0.500 0.000
0.864 0.864 0.417
0.151 0.151 0.905
0.456 0.456 0.652
0.544 0.544 0.348
0.849 0.849 0.095
```